Entry 1:
Below is a relaxed Mg2GePPd6 crystal, with properties calculated at the GGA-PBE level.

```
Mg2GePPd6
1.0
4.567 0.000 0.000
0.000 4.567 0.000
0.000 0.000 9.123
Mg Ge P Pd
2 1 1 6
Direct
0.000 0.000 0.759 Mg
0.000 0.000 0.241 Mg
0.500 0.500 0.000 Ge
0.500 0.500 0.500 P
0.500 0.000 0.000 Pd
0.500 0.000 0.500 Pd
0.000 0.500 0.000 Pd
0.000 0.500 0.500 Pd
0.500 0.500 0.743 Pd
0.500 0.500 0.257 Pd
```

## Properties
raw total energy = -4.715 eV/atom
symmetry = P4/mmm
volume = 190.3 Å³/f.u.

---

Entry 2:
Below is a relaxed Mg2GePPt6 crystal, with properties calculated at the GGA-PBE level.

```
Mg2GePPt6
1.0
5.534 0.000 0.000
0.000 7.925 0.000
0.000 0.000 8.505
Mg Ge P Pt
4 2 2 12
Direct
0.500 0.723 0.271 Mg
0.000 0.277 0.771 Mg
0.500 0.723 0.729 Mg
0.000 0.277 0.229 Mg
0.000 0.718 0.500 Ge
0.500 0.282 0.000 Ge
0.500 0.239 0.500 P
0.000 0.761 0.000 P
0.500 0.125 0.253 Pt
0.500 0.125 0.747 Pt
0.000 0.875 0.247 Pt
0.000 0.875 0.753 Pt
0.251 0.986 0.500 Pt
0.749 0.986 0.500 Pt
0.244 0.462 0.500 Pt
0.756 0.462 0.500 Pt
0.744 0.538 0.000 Pt
0.256 0.538 0.000 Pt
0.249 0.014 0.000 Pt
0.751 0.014 0.000 Pt
```

## Properties
raw total energy = -5.407 eV/atom
symmetry = Pmmn
volume = 186.5 Å³/f.u.

---

Entry 3:
Below is a relaxed MgReGe2P crystal, with properties calculated at the GGA-PBE level.

```
MgReGe2P
1.0
4.744 0.000 0.000
0.000 4.560 0.000
0.000 0.000 4.744
Re Ge Mg P
1 2 1 1
Direct
0.500 0.500 0.500 Re
0.000 0.000 0.500 Ge
0.500 0.000 0.000 Ge
0.000 0.500 0.000 Mg
0.000 0.000 0.000 P
```

## Properties
raw total energy = -4.533 eV/atom
symmetry = P4/mmm
volume = 102.6 Å³/f.u.

---

Entry 4:
Below is a relaxed MgGeP2S crystal, with properties calculated at the GGA-PBE level.

```
MgGeP2S
1.0
-0.214 1.551 4.438
-3.010 -3.458 1.064
3.678 -2.841 1.170
Mg P Ge S
1 2 1 1
Direct
0.500 0.500 0.500 Mg
0.000 0.500 0.000 P
0.500 0.000 0.000 P
0.000 0.000 0.000 Ge
0.000 0.000 0.500 S
```

## Properties
energy relative to the elements, uncorrected = 0.548 eV/atom
symmetry = P4/mmm
volume = 106.2 Å³/f.u.
energy relative to the lowest polymorph listed for this composition = 0.000 eV/atom

---

Entry 5:
Below is a relaxed MgGe2PSe crystal, with properties calculated at the GGA-PBE level.

```
MgGe2PSe
1.0
4.808 0.000 0.000
0.000 5.004 0.000
0.000 0.000 4.808
P Ge Mg Se
1 2 1 1
Direct
0.000 0.000 0.000 P
0.000 0.000 0.500 Ge
0.500 0.000 0.000 Ge
0.500 0.500 0.500 Mg
0.000 0.500 0.000 Se
```

## Properties
energy relative to the elements, uncorrected = 0.388 eV/atom
symmetry = P4/mmm
volume = 115.7 Å³/f.u.

---

Entry 6:
Below is a relaxed SrMgGe2P crystal, with properties calculated at the GGA-PBE level.

```
SrMgGe2P
1.0
-3.761 -2.322 2.509
3.056 -1.022 3.634
-1.210 4.392 2.253
Sr Ge Mg P
1 2 1 1
Direct
0.500 0.500 0.500 Sr
0.000 0.000 0.500 Ge
0.500 0.000 0.000 Ge
0.000 0.500 0.000 Mg
0.000 0.000 0.000 P
```

## Properties
raw total energy = -3.544 eV/atom
symmetry = P4/mmm
volume = 125.5 Å³/f.u.

---

Entry 7:
Below is a relaxed Mg2ZnGeP crystal, with properties calculated at the GGA-PBE level.

```
Mg2ZnGeP
1.0
4.868 0.000 0.000
0.000 4.597 0.000
0.000 0.000 4.868
Mg P Ge Zn
2 1 1 1
Direct
0.000 0.000 0.500 Mg
0.500 0.000 0.000 Mg
0.000 0.000 0.000 P
0.500 0.500 0.500 Ge
0.000 0.500 0.000 Zn
```

## Properties
raw total energy = -2.767 eV/atom
symmetry = P4/mmm
volume = 108.9 Å³/f.u.

---

Entry 8:
Below is a relaxed Mg2ZrGeP crystal, with properties calculated at the GGA-PBE level.

```
Mg2ZrGeP
1.0
-0.351 4.952 -2.487
-3.967 -1.629 -2.683
-3.427 1.764 3.997
P Ge Mg Zr
1 1 2 1
Direct
0.500 0.500 0.500 P
0.000 0.500 0.000 Ge
0.000 0.000 0.500 Mg
0.500 0.000 0.000 Mg
0.000 0.000 0.000 Zr
```

## Properties
raw total energy = -3.122 eV/atom
symmetry = P4/mmm
volume = 156.0 Å³/f.u.

---

Entry 9:
Below is a relaxed MgPa5Ge5 crystal, with properties calculated at the GGA-PBE level.

```
MgPa5Ge5
1.0
-4.196 1.576 3.587
3.106 -6.072 1.707
4.619 5.863 2.828
Mg Pa Ge
1 5 5
Direct
0.000 0.000 0.000 Mg
0.656 0.312 0.343 Pa
0.657 0.313 0.815 Pa
0.000 0.000 0.500 Pa
0.343 0.687 0.185 Pa
0.344 0.688 0.657 Pa
0.821 0.643 0.164 Ge
0.835 0.670 0.670 Ge
0.500 0.000 0.000 Ge
0.165 0.330 0.330 Ge
0.179 0.357 0.836 Ge
```

## Properties
raw total energy = -6.646 eV/atom
symmetry = C2/m
volume = 278.5 Å³/f.u.

---

Entry 10:
Below is a relaxed MgPa2Ge2 crystal, with properties calculated at the GGA-PBE level.

```
MgPa2Ge2
1.0
-2.614 -1.966 2.982
4.277 -5.634 0.035
3.781 2.902 5.227
Mg Pa Ge
2 4 4
Direct
0.000 0.000 0.000 Mg
0.000 0.500 0.500 Mg
0.500 0.175 0.675 Pa
0.500 0.675 0.825 Pa
0.500 0.825 0.325 Pa
0.500 0.325 0.175 Pa
0.000 0.370 0.870 Ge
0.000 0.870 0.630 Ge
0.000 0.630 0.130 Ge
0.000 0.130 0.370 Ge
```

## Properties
raw total energy = -6.305 eV/atom
symmetry = P4/mbm
volume = 110.7 Å³/f.u.

---

Entry 11:
Below is a relaxed MgPa2Ge3Pd4 crystal, with properties calculated at the GGA-PBE level.

```
MgPa2Ge3Pd4
1.0
4.120 0.000 0.000
0.000 4.120 0.000
0.000 0.000 11.054
Mg Pa Ge Pd
1 2 3 4
Direct
0.500 0.500 0.500 Mg
0.500 0.000 0.238 Pa
0.000 0.500 0.762 Pa
0.000 0.000 0.500 Ge
0.500 0.000 0.868 Ge
0.000 0.500 0.132 Ge
0.500 0.500 0.000 Pd
0.000 0.000 0.000 Pd
0.500 0.000 0.648 Pd
0.000 0.500 0.352 Pd
```

## Properties
raw total energy = -6.109 eV/atom
symmetry = P-4m2
volume = 187.7 Å³/f.u.

---

Entry 12:
Below is a relaxed MgPaGe2Pd2 crystal, with properties calculated at the GGA-PBE level.

```
MgPaGe2Pd2
1.0
4.337 0.000 0.000
-2.168 3.756 0.000
0.000 0.000 6.763
Mg Pa Ge Pd
1 1 2 2
Direct
0.000 0.000 0.500 Mg
0.000 0.000 0.000 Pa
0.333 0.667 0.248 Ge
0.667 0.333 0.752 Ge
0.333 0.667 0.685 Pd
0.667 0.333 0.315 Pd
```

## Properties
raw total energy = -5.752 eV/atom
symmetry = P-3m1
volume = 110.1 Å³/f.u.

---

Q: Among the records above, which one has the lowest volume?
A: MgReGe2P

---

Q: Which of these has the lowest volume?
A: MgReGe2P

---

Q: volume of number 12 (MgPaGe2Pd2)?
A: 110.1 Å³/f.u.